--- a ---
# LiCoAgB

A relaxed structure of LiCoAgB (PBE-GGA, OQMD via LeMat-Bulk).

Cell lengths 3.900, 3.900, 3.900 Å; angles 60.00, 60.00, 60.00 degrees
Sites, in units of the cell vectors:
Li 0.000 0.000 0.000
Co 0.750 0.750 0.750
Ag 0.250 0.250 0.250
B 0.500 0.500 0.500

Summary:
The crystal system is cubic.


--- b ---
# LiCoAgB

A relaxed structure of LiCoAgB (PBE-GGA, OQMD via LeMat-Bulk).

Cell lengths 4.008, 4.008, 4.008 Å; angles 60.00, 60.00, 60.00 degrees
Sites, in units of the cell vectors:
Li 0.000 0.000 0.000
Co 0.500 0.500 0.500
Ag 0.750 0.750 0.750
B 0.250 0.250 0.250

Summary:
The crystal system is cubic.


Most stable structure: a


--- a ---
# LuCoAgB

A relaxed structure of LuCoAgB (PBE-GGA, OQMD via LeMat-Bulk).

Cell lengths 4.404, 4.404, 4.404 Å; angles 60.00, 60.00, 60.00 degrees
Sites, in units of the cell vectors:
Lu 0.000 0.000 0.000
Co 0.500 0.500 0.500
Ag 0.750 0.750 0.750
B 0.250 0.250 0.250

Summary:
The crystal system is cubic.


--- b ---
# LuCoAgB

A relaxed structure of LuCoAgB (PBE-GGA, OQMD via LeMat-Bulk).

Cell lengths 4.346, 4.346, 4.346 Å; angles 60.00, 60.00, 60.00 degrees
Sites, in units of the cell vectors:
Lu 0.000 0.000 0.000
Co 0.750 0.750 0.750
Ag 0.250 0.250 0.250
B 0.500 0.500 0.500

Summary:
The crystal system is cubic.


Most stable structure: a


--- a ---
# YCoAgB

A relaxed structure of YCoAgB (PBE-GGA, OQMD via LeMat-Bulk).

Cell lengths 4.473, 4.473, 4.473 Å; angles 60.00, 60.00, 60.00 degrees
Sites, in units of the cell vectors:
Y 0.000 0.000 0.000
Co 0.500 0.500 0.500
Ag 0.750 0.750 0.750
B 0.250 0.250 0.250

Summary:
The crystal system is cubic.


--- b ---
# YCoAgB

A relaxed structure of YCoAgB (PBE-GGA, OQMD via LeMat-Bulk).

Cell lengths 4.443, 4.443, 4.443 Å; angles 60.00, 60.00, 60.00 degrees
Sites, in units of the cell vectors:
Y 0.000 0.000 0.000
Co 0.750 0.750 0.750
Ag 0.250 0.250 0.250
B 0.500 0.500 0.500

Summary:
The crystal system is cubic.


Most stable structure: a


--- a ---
# ZnCoAgB

A relaxed structure of ZnCoAgB (PBE-GGA, OQMD via LeMat-Bulk).

Cell lengths 4.073, 4.073, 4.073 Å; angles 60.00, 60.00, 60.00 degrees
Sites, in units of the cell vectors:
Zn 0.000 0.000 0.000
Co 0.750 0.750 0.750
Ag 0.250 0.250 0.250
B 0.500 0.500 0.500

Summary:
The crystal system is cubic.


--- b ---
# ZnCoAgB

A relaxed structure of ZnCoAgB (PBE-GGA, OQMD via LeMat-Bulk).

Cell lengths 4.111, 4.111, 4.111 Å; angles 60.00, 60.00, 60.00 degrees
Sites, in units of the cell vectors:
Zn 0.000 0.000 0.000
Co 0.500 0.500 0.500
Ag 0.750 0.750 0.750
B 0.250 0.250 0.250

Summary:
The crystal system is cubic.


Most stable structure: a


--- a ---
# ZrCoAgB

A relaxed structure of ZrCoAgB (PBE-GGA, OQMD via LeMat-Bulk).

Cell lengths 4.307, 4.307, 4.307 Å; angles 60.00, 60.00, 60.00 degrees
Sites, in units of the cell vectors:
Zr 0.000 0.000 0.000
Co 0.750 0.750 0.750
Ag 0.250 0.250 0.250
B 0.500 0.500 0.500

Summary:
The crystal system is cubic.


--- b ---
# ZrCoAgB

A relaxed structure of ZrCoAgB (PBE-GGA, OQMD via LeMat-Bulk).

Cell lengths 4.316, 4.316, 4.316 Å; angles 60.00, 60.00, 60.00 degrees
Sites, in units of the cell vectors:
Zr 0.000 0.000 0.000
Co 0.500 0.500 0.500
Ag 0.750 0.750 0.750
B 0.250 0.250 0.250

Summary:
The crystal system is cubic.


Most stable structure: b


--- a ---
# CsAgB4

A relaxed structure of CsAgB4 (PBE-GGA, OQMD via LeMat-Bulk).

Cell lengths 3.170, 3.170, 9.220 Å; angles 90.00, 90.00, 120.00 degrees
Sites, in units of the cell vectors:
Cs 0.000 0.000 0.000
Ag 0.000 0.000 0.500
B 0.333 0.667 0.300
B 0.333 0.667 0.700
B 0.667 0.333 0.300
B 0.667 0.333 0.700

Summary:
The crystal system is hexagonal.


--- b ---
# CsAgB4

A relaxed structure of CsAgB4 (PBE-GGA, OQMD via LeMat-Bulk).

Cell lengths 6.186, 6.186, 6.186 Å; angles 152.59, 125.14, 62.40 degrees
Sites, in units of the cell vectors:
Cs 0.000 0.000 0.000
Ag 0.500 0.500 0.000
B 0.109 0.758 0.351
B 0.407 0.758 0.649
B 0.593 0.242 0.351
B 0.891 0.242 0.649

Summary:
The crystal system is orthorhombic.


Most stable structure: a


--- a ---
# CuAgB4

A relaxed structure of CuAgB4 (PBE-GGA, OQMD via LeMat-Bulk).

Cell lengths 3.006, 3.006, 7.447 Å; angles 90.00, 90.00, 120.00 degrees
Sites, in units of the cell vectors:
Cu 0.000 0.000 0.000
Ag 0.000 0.000 0.500
B 0.333 0.667 0.217
B 0.333 0.667 0.783
B 0.667 0.333 0.217
B 0.667 0.333 0.783

Summary:
The crystal system is hexagonal.


--- b ---
# CuAgB4

A relaxed structure of CuAgB4 (PBE-GGA, OQMD via LeMat-Bulk).

Cell lengths 4.812, 4.812, 4.812 Å; angles 143.93, 114.28, 77.32 degrees
Sites, in units of the cell vectors:
Cu 0.000 0.000 0.000
Ag 0.500 0.500 0.000
B 0.079 0.743 0.336
B 0.407 0.743 0.664
B 0.593 0.257 0.336
B 0.921 0.257 0.664

Summary:
The crystal system is orthorhombic.


Most stable structure: a


--- a ---
# LuCuAgB

A relaxed structure of LuCuAgB (PBE-GGA, OQMD via LeMat-Bulk).

Cell lengths 4.428, 4.428, 4.428 Å; angles 60.00, 60.00, 60.00 degrees
Sites, in units of the cell vectors:
Lu 0.000 0.000 0.000
Cu 0.750 0.750 0.750
Ag 0.250 0.250 0.250
B 0.500 0.500 0.500

Summary:
The crystal system is cubic.


--- b ---
# LuCuAgB

A relaxed structure of LuCuAgB (PBE-GGA, OQMD via LeMat-Bulk).

Cell lengths 4.444, 4.444, 4.444 Å; angles 60.00, 60.00, 60.00 degrees
Sites, in units of the cell vectors:
Lu 0.000 0.000 0.000
Cu 0.500 0.500 0.500
Ag 0.750 0.750 0.750
B 0.250 0.250 0.250

Summary:
The crystal system is cubic.


Most stable structure: b